(1)
{
  "formula": "TbPm7Nd12",
  "functional": "GGA-PBE",
  "state": "relaxed",
  "magmom_total_mub_per_fu": 0.00,
  "n_ef_per_ev_cell": 24.893,
  "crystal_system": "trigonal",
  "dft_energy_ev_per_cell": -89.66,
  "space_group": "R-3, No. 148",
  "polymorph_energy_mev_per_atom": 54.1,
  "lattice_angstrom": [[-4.016, -5.621, -0.824], [-1.356, 2.248, 10.855], [-10.050, 3.879, 2.942]],
  "species": ["Pm", "Pm", "Pm", "Pm", "Nd", "Nd", "Pm", "Nd", "Nd", "Nd", "Nd", "Nd", "Nd", "Nd", "Tb", "Nd", "Pm", "Pm", "Nd", "Nd"],
  "frac_coords": [[0.217, 0.838, 0.857], [0.379, 0.305, 0.838], [0.500, 0.000, 0.000], [0.621, 0.695, 0.162], [0.926, 0.428, 0.786], [0.748, 0.545, 0.522], [0.074, 0.857, 0.305], [0.730, 0.478, 0.067], [0.498, 0.786, 0.428], [0.502, 0.214, 0.572], [0.074, 0.572, 0.214], [0.252, 0.455, 0.478], [0.288, 0.214, 0.214], [0.203, 0.933, 0.545], [0.000, 0.000, 0.000], [0.270, 0.522, 0.933], [0.783, 0.162, 0.143], [0.926, 0.143, 0.695], [0.797, 0.067, 0.455], [0.712, 0.786, 0.786]]
}

=====

(2)
{
  "formula": "PHRh3",
  "functional": "GGA-PBE",
  "state": "relaxed",
  "magmom_total_mub_per_fu": 0.00,
  "n_ef_per_ev_cell": 2.465,
  "crystal_system": "cubic",
  "dft_energy_ev_per_cell": -31.24,
  "space_group": "Pm-3m, No. 221",
  "polymorph_energy_mev_per_atom": 0.0,
  "lattice_angstrom": [[3.861, 0.000, 0.000], [0.000, 3.861, 0.000], [0.000, 0.000, 3.861]],
  "species": ["Rh", "P", "Rh", "H", "Rh"],
  "frac_coords": [[0.000, 0.500, 0.000], [0.500, 0.500, 0.500], [0.500, 0.000, 0.000], [0.000, 0.000, 0.000], [0.000, 0.000, 0.500]]
}

=====

(3)
{
  "formula": "SmErCd2",
  "functional": "GGA-PBE",
  "state": "relaxed",
  "magmom_total_mub_per_fu": 0.47,
  "n_ef_per_ev_cell": 4.194,
  "crystal_system": "tetragonal",
  "dft_energy_ev_per_cell": -12.37,
  "space_group": "P4/mmm, No. 123",
  "lattice_angstrom": [[3.728, 0.000, 0.000], [0.000, 3.728, 0.000], [0.000, 0.000, 7.679]],
  "species": ["Cd", "Cd", "Sm", "Er"],
  "frac_coords": [[0.000, 0.000, 0.236], [0.000, 0.000, 0.764], [0.500, 0.500, 0.500], [0.500, 0.500, 0.000]]
}

=====

(4)
{
  "formula": "Li5Dy12Sn3",
  "functional": "GGA-PBE",
  "state": "relaxed",
  "magmom_total_mub_per_fu": 2.84,
  "n_ef_per_ev_cell": 111.862,
  "crystal_system": "cubic",
  "dft_energy_ev_per_cell": -278.12,
  "space_group": "Ia-3d, No. 230",
  "lattice_angstrom": [[14.966, 0.000, 0.000], [-4.989, 14.110, 0.000], [-4.989, -7.055, 12.219]],
  "species": ["Dy", "Dy", "Dy", "Li", "Dy", "Sn", "Dy", "Dy", "Li", "Dy", "Dy", "Li", "Dy", "Sn", "Dy", "Li", "Dy", "Sn", "Dy", "Sn", "Li", "Dy", "Dy", "Dy", "Dy", "Dy", "Dy", "Li", "Dy", "Dy", "Li", "Li", "Dy", "Dy", "Sn", "Dy", "Li", "Li", "Dy", "Sn", "Dy", "Dy", "Dy", "Sn", "Dy", "Dy", "Li", "Dy", "Li", "Dy", "Li", "Dy", "Dy", "Dy", "Dy", "Dy", "Dy", "Dy", "Li", "Dy", "Li", "Sn", "Li", "Dy", "Dy", "Sn", "Dy", "Sn", "Dy", "Li", "Li", "Dy", "Li", "Dy", "Dy", "Sn", "Li", "Sn", "Dy", "Dy"],
  "frac_coords": [[0.576, 0.630, 0.412], [0.412, 0.130, 0.576], [0.946, 0.576, 0.164], [0.250, 0.375, 0.625], [0.088, 0.164, 0.218], [0.125, 0.250, 0.875], [0.412, 0.282, 0.336], [0.588, 0.870, 0.424], [0.000, 0.000, 0.000], [0.946, 0.370, 0.282], [0.630, 0.576, 0.912], [0.625, 0.875, 0.250], [0.912, 0.836, 0.782], [0.750, 0.375, 0.125], [0.718, 0.588, 0.164], [0.375, 0.250, 0.125], [0.446, 0.664, 0.076], [0.875, 0.125, 0.250], [0.370, 0.946, 0.782], [0.375, 0.625, 0.250], [0.750, 0.625, 0.375], [0.164, 0.076, 0.946], [0.576, 0.946, 0.664], [0.218, 0.664, 0.088], [0.782, 0.446, 0.370], [0.054, 0.630, 0.718], [0.630, 0.054, 0.218], [0.000, 0.500, 0.500], [0.912, 0.076, 0.630], [0.088, 0.924, 0.370], [0.500, 0.000, 0.500], [0.500, 0.000, 0.000], [0.870, 0.282, 0.446], [0.782, 0.336, 0.912], [0.250, 0.125, 0.375], [0.130, 0.412, 0.076], [0.375, 0.125, 0.750], [0.500, 0.500, 0.000], [0.836, 0.924, 0.054], [0.750, 0.875, 0.625], [0.588, 0.718, 0.664], [0.836, 0.912, 0.282], [0.870, 0.588, 0.924], [0.875, 0.750, 0.125], [0.924, 0.836, 0.554], [0.130, 0.718, 0.554], [0.875, 0.625, 0.750], [0.054, 0.424, 0.836], [0.875, 0.250, 0.625], [0.282, 0.870, 0.946], [0.000, 0.000, 0.500], [0.336, 0.782, 0.412], [0.336, 0.554, 0.424], [0.554, 0.336, 0.924], [0.554, 0.218, 0.130], [0.424, 0.054, 0.336], [0.664, 0.446, 0.576], [0.664, 0.218, 0.588], [0.125, 0.750, 0.375], [0.076, 0.912, 0.130], [0.750, 0.125, 0.875], [0.625, 0.250, 0.375], [0.500, 0.500, 0.500], [0.718, 0.130, 0.054], [0.446, 0.782, 0.870], [0.375, 0.750, 0.625], [0.424, 0.370, 0.588], [0.125, 0.875, 0.750], [0.218, 0.554, 0.630], [0.000, 0.500, 0.000], [0.250, 0.875, 0.125], [0.282, 0.412, 0.836], [0.125, 0.375, 0.250], [0.164, 0.088, 0.718], [0.076, 0.164, 0.446], [0.625, 0.375, 0.750], [0.625, 0.750, 0.875], [0.250, 0.625, 0.875], [0.370, 0.424, 0.088], [0.924, 0.088, 0.870]]
}